Version a
Compound: Cd2SiBr
Source: Alexandria via LeMat-Bulk
Functional: GGA-PBEsol
Structure: optimized geometry

Structure (POSCAR):
```
Cd2SiBr
1.0
3.7448 0.0000 0.0000
0.0000 3.7448 0.0000
0.0000 0.0000 7.2709
Cd Si Br
2 1 1
direct
0.0000 0.0000 0.0000
0.5000 0.5000 0.4045
0.0000 0.0000 0.3482
0.5000 0.5000 0.8146
```

Computed properties:
Size of the total moment: 0.0000 μB per atom
Fermi-level density of states: 0.22 states/eV/atom

***

Version b
Compound: Cd2SiBr
Source: Alexandria via LeMat-Bulk
Functional: GGA-PBEsol
Structure: optimized geometry

Structure (POSCAR):
```
Cd2SiBr
1.0
1.9167 1.1066 7.2464
-1.9167 1.1066 7.2464
0.0000 -2.2132 7.2464
Cd Si Br
2 1 1
direct
0.2380 0.2380 0.2380
0.7620 0.7620 0.7620
0.5000 0.5000 0.5000
0.0000 0.0000 0.0000
```

Computed properties:
Size of the total moment: 0.0000 μB per atom
Fermi-level density of states: 0.27 states/eV/atom

***

Most stable = version b

***

Version a
Compound: Ta2CdBr
Source: Alexandria via LeMat-Bulk
Functional: GGA-PBEsol
Structure: optimized geometry

Structure (POSCAR):
```
Ta2CdBr
1.0
3.0324 0.0000 0.0000
0.0000 3.0324 0.0000
0.0000 0.0000 7.6845
Ta Cd Br
2 1 1
direct
0.0000 0.0000 0.2327
0.0000 0.0000 0.7673
0.5000 0.5000 0.5000
0.5000 0.5000 0.0000
```

Computed properties:
Size of the total moment: 0.0000 μB per atom
Fermi-level density of states: 0.51 states/eV/atom

***

Version b
Compound: Ta2CdBr
Source: Alexandria via LeMat-Bulk
Functional: GGA-PBEsol
Structure: optimized geometry

Structure (POSCAR):
```
Ta2CdBr
1.0
-2.0166 2.0166 4.7498
2.0166 -2.0166 4.7498
2.0166 2.0166 -4.7498
Ta Cd Br
2 1 1
direct
0.2500 0.7500 0.5000
0.7500 0.2500 0.5000
0.0000 0.0000 0.0000
0.5000 0.5000 0.0000
```

Computed properties:
Size of the total moment: 0.0001 μB per atom
Fermi-level density of states: 1.04 states/eV/atom

***

Version c
Compound: Ta2CdBr
Source: Alexandria via LeMat-Bulk
Functional: GGA-PBEsol
Structure: optimized geometry

Structure (POSCAR):
```
Ta2CdBr
1.0
2.8536 -5.1249 0.0000
2.8536 5.1249 0.0000
-1.5067 0.0000 2.6742
Ta Cd Br
2 1 1
direct
0.0000 0.5000 0.0000
0.5000 0.0000 0.0000
0.0000 0.0000 0.0000
0.5000 0.5000 0.0000
```

Computed properties:
Size of the total moment: 0.0002 μB per atom
Fermi-level density of states: 1.04 states/eV/atom

***

Version d
Compound: Ta2CdBr
Source: Alexandria via LeMat-Bulk
Functional: GGA-PBEsol
Structure: optimized geometry

Structure (POSCAR):
```
Ta2CdBr
1.0
0.0000 3.3728 3.3728
3.3728 0.0000 3.3728
3.3728 3.3728 0.0000
Ta Cd Br
2 1 1
direct
0.0000 0.0000 0.0000
0.2500 0.2500 0.2500
0.5000 0.5000 0.5000
0.7500 0.7500 0.7500
```

Computed properties:
Size of the total moment: 0.0002 μB per atom
Fermi-level density of states: 1.67 states/eV/atom

***

Most stable = version a

***

Version a
Compound: CdTe2Br
Source: Alexandria via LeMat-Bulk
Functional: GGA-PBEsol
Structure: optimized geometry

Structure (POSCAR):
```
CdTe2Br
1.0
1.9252 -3.5827 0.0000
1.9252 3.5827 0.0000
0.0000 0.0000 9.0726
Cd Te Br
1 2 1
direct
0.0000 0.0000 0.0000
0.0000 0.0000 0.4709
0.5000 0.5000 0.2397
0.5000 0.5000 0.7963
```

Computed properties:
Size of the total moment: 0.0000 μB per atom
Fermi-level density of states: 0.34 states/eV/atom

***

Version b
Compound: CdTe2Br
Source: Alexandria via LeMat-Bulk
Functional: GGA-PBEsol
Structure: optimized geometry

Structure (POSCAR):
```
CdTe2Br
1.0
0.0000 3.6835 3.6835
3.6835 0.0000 3.6835
3.6835 3.6835 0.0000
Cd Te Br
1 2 1
direct
0.0000 0.0000 0.0000
0.2500 0.2500 0.2500
0.7500 0.7500 0.7500
0.5000 0.5000 0.5000
```

Computed properties:
Size of the total moment: 0.0000 μB per atom
Fermi-level density of states: 0.74 states/eV/atom

***

Most stable = version a